(1)
Here is a relaxed structure of TaTiAu3 from Alexandria via LeMat-Bulk. Energies are from PBE.

Lattice parameters (Å, degrees): 5.028 5.028 5.028 90.00 90.00 90.00
Fractional coordinates of all 5 atoms:
Ta1 0.000 0.000 0.000
Ti1 0.500 0.500 0.500
Au1 0.000 0.000 0.500
Au2 0.000 0.500 0.000
Au3 0.500 0.000 0.000

Results
Its formation energy is 5.5 eV per formula unit. For the energy, the calculation gives -4.8107 eV per atom. The space-group type is Pm-3m.

***

(2)
Here is a relaxed structure of Rb4SnSe4O4 from Alexandria via LeMat-Bulk. Energies are from PBE.

Lattice parameters (Å, degrees): 8.873 8.880 11.145 90.38 111.67 107.83
Fractional coordinates of all 26 atoms:
Rb1 0.033 0.493 0.262
Rb2 0.126 0.830 0.505
Rb3 0.175 0.849 0.016
Rb4 0.299 0.203 0.340
Rb5 0.701 0.797 0.660
Rb6 0.825 0.151 0.984
Rb7 0.874 0.170 0.495
Rb8 0.967 0.507 0.738
Sn1 0.425 0.351 0.765
Sn2 0.575 0.649 0.235
Se1 0.188 0.186 0.846
Se2 0.286 0.501 0.591
Se3 0.292 0.461 0.033
Se4 0.484 0.880 0.315
Se5 0.516 0.120 0.685
Se6 0.708 0.539 0.967
Se7 0.714 0.499 0.409
Se8 0.812 0.814 0.154
O1 0.055 0.000 0.698
O2 0.064 0.847 0.734
O3 0.168 0.354 0.117
O4 0.264 0.810 0.296
O5 0.736 0.190 0.704
O6 0.832 0.646 0.883
O7 0.936 0.153 0.266
O8 0.945 0.000 0.302

Results
For the energy, the calculation gives -4.0299 eV per atom. The value obtained for the uncorrected formation energy is -10.7 eV per formula unit. The space-group type is P-1.

***

(3)
Here is a relaxed structure of H3PtW from Alexandria via LeMat-Bulk. Energies are from PBE.

Lattice parameters (Å, degrees): 3.496 3.496 3.496 90.00 90.00 90.00
Fractional coordinates of all 5 atoms:
H1 0.000 0.000 0.500
H2 0.000 0.500 0.000
H3 0.500 0.000 0.000
Pt1 0.500 0.500 0.500
W1 0.000 0.000 0.000

Results
For the energy, the calculation gives -5.2759 eV per atom. The space-group type is Pm-3m.

***

(4)
Here is a relaxed structure of TaNi2S from Alexandria via LeMat-Bulk. Energies are from PBE.

Lattice parameters (Å, degrees): 5.306 5.306 5.306 102.34 102.34 124.94
Fractional coordinates of all 8 atoms:
Ta1 0.000 0.000 0.000
Ta2 0.750 0.250 0.500
Ni1 0.172 0.125 0.547
Ni2 0.375 0.828 0.953
Ni3 0.578 0.625 0.453
Ni4 0.875 0.422 0.047
S1 0.250 0.750 0.500
S2 0.500 0.500 0.000

Results
For the energy, the calculation gives -7.0665 eV per atom. The value obtained for the uncorrected formation energy is -0.7 eV per formula unit. The space-group type is I-42d.